# 1
Density functional theory data (PBE-GGA) for an optimized crystal structure of RbMg2F.

Unit cell a=7.143 b=7.143 c=7.131 alpha=59.94 beta=59.94 gamma=90.00
Element x y z (fractional)
Mg1 0.375 0.125 0.250
Mg2 0.375 0.625 0.250
Mg3 0.375 0.625 0.750
Mg4 0.875 0.625 0.750
Rb1 0.000 0.000 0.000
Rb2 0.750 0.250 0.500
F1 0.500 0.500 0.000
F2 0.250 0.750 0.500

Properties
**Raw total energy**: -2.3401 eV/atom

=====

# 2
Density functional theory data (PBE-GGA) for an optimized crystal structure of CaPd.

Unit cell a=3.536 b=3.536 c=3.536 alpha=90.00 beta=90.00 gamma=90.00
Element x y z (fractional)
Ca1 0.000 0.000 0.000
Pd1 0.500 0.500 0.500

Properties
**Formation energy**: -0.6648 eV/atom